6
Lattice="6.5081 0.0000 0.0000 0.0000 5.1443 0.0000 -3.1613 0.0000 6.7684" Properties=species:S:1:pos:R:3 comment="InPbI, relaxed, DFT GGA-PBE" spacegroup="P2_1/m (11)" dos_at_fermi_per_ev_cell=0.5 m_tot_mub_per_atom=0.000 vol_a3_per_fu=113.3 formation_energy_uncorrected_ev_per_atom=-0.171 final_energy_ev_per_cell=-17.02 pbc="T T T"
In -1.0052 1.2861 2.6964
In 4.3520 3.8583 4.0721
Pb -2.3436 1.2861 5.9037
Pb 5.6904 3.8583 0.8647
I 2.3400 3.8583 1.6730
I 1.0068 1.2861 5.0954



5
Lattice="4.6906 0.0000 0.0000 0.0000 4.6906 0.0000 0.0000 0.0000 3.7337" Properties=species:S:1:pos:R:3 comment="ReP2HO, relaxed, DFT GGA-PBE" spacegroup="P4/mmm (123)" dos_at_fermi_per_ev_cell=1.6 m_tot_mub_per_atom=0.000 vol_a3_per_fu=82.1 e_above_lowest_polymorph_ev_per_atom=0.000 final_energy_ev_per_cell=-29.60 pbc="T T T"
Re 0.0000 0.0000 0.0000
P 0.0000 2.3453 0.0000
P 2.3453 0.0000 0.0000
H 2.3453 2.3453 1.8669
O 0.0000 0.0000 1.8669



5
Lattice="5.0205 0.0000 0.0000 0.0000 5.0205 0.0000 0.0000 0.0000 5.3324" Properties=species:S:1:pos:R:3 comment="RbZn2CdPd, relaxed, DFT GGA-PBE" spacegroup="P4/mmm (123)" dos_at_fermi_per_ev_cell=1.7 m_tot_mub_per_atom=0.000 vol_a3_per_fu=134.4 e_form_mev_per_atom=-148 final_energy_ev_per_cell=-10.36 pbc="T T T"
Rb 0.0000 0.0000 0.0000
Zn 0.0000 2.5103 2.6662
Zn 2.5103 0.0000 2.6662
Cd 2.5103 2.5103 0.0000
Pd 2.5103 2.5103 2.6662



8
Lattice="0.0000 4.2997 3.0827 3.3715 0.0000 3.0827 3.3715 4.2997 0.0000" Properties=species:S:1:pos:R:3 comment="LiPaTc2N4, relaxed, DFT GGA-PBE" spacegroup="Fmm2 (42)" dos_at_fermi_per_ev_cell=4.9 m_tot_mub_per_atom=0.000 vol_a3_per_fu=89.4 formation_energy_uncorrected_ev_per_atom=-0.485 final_energy_ev_per_cell=-69.32 pbc="T T T"
Li 0.0000 0.0000 0.0000
Pa 3.3715 4.2997 3.0755
Tc 1.6857 2.1499 1.5597
Tc 5.0572 6.4496 4.6424
N 4.9590 4.2997 1.4943
N 3.3715 2.0702 2.7480
N 1.7839 4.2997 1.4943
N 3.3715 6.5292 2.7480